CaZrBiW2 | PBE-GGA | optimized geometry

Crystal system: tetragonal
Space group: No. 123

Cell lengths 4.947, 4.947, 5.610 Å; angles 90.00, 90.00, 90.00 degrees
Sites, in units of the cell vectors:
1 Ca 0.000 0.000 0.000
2 Zr 0.500 0.500 0.500
3 Bi 0.500 0.500 0.000
4 W 0.000 0.500 0.500
5 W 0.500 0.000 0.500

CaY3Bi | PBE-GGA | optimized geometry

Crystal system: cubic
Space group: No. 221

Cell lengths 5.891, 5.891, 5.891 Å; angles 90.00, 90.00, 90.00 degrees
Sites, in units of the cell vectors:
1 Ca 0.000 0.000 0.000
2 Y 0.000 0.500 0.500
3 Y 0.500 0.000 0.500
4 Y 0.500 0.500 0.000
5 Bi 0.500 0.500 0.500

CaY4Bi5 | PBE-GGA | optimized geometry

Crystal system: orthorhombic
Space group: No. 71

Cell lengths 11.976, 11.976, 11.976 Å; angles 158.38, 149.13, 38.00 degrees
Sites, in units of the cell vectors:
1 Ca 0.000 0.000 0.000
2 Y 0.201 0.201 0.000
3 Y 0.401 0.401 0.000
4 Y 0.599 0.599 0.000
5 Y 0.799 0.799 0.000
6 Bi 0.104 0.604 0.500
7 Bi 0.301 0.801 0.500
8 Bi 0.500 0.000 0.500
9 Bi 0.699 0.199 0.500
10 Bi 0.896 0.396 0.500

CaYBi2 | PBE-GGA | optimized geometry

Crystal system: tetragonal
Space group: No. 123

Cell lengths 4.134, 4.134, 7.112 Å; angles 90.00, 90.00, 90.00 degrees
Sites, in units of the cell vectors:
1 Ca 0.000 0.000 0.000
2 Y 0.000 0.000 0.500
3 Bi 0.500 0.500 0.260
4 Bi 0.500 0.500 0.740

Ca2YBi | PBE-GGA | optimized geometry

Crystal system: trigonal
Space group: No. 166

Cell lengths 12.619, 12.619, 12.619 Å; angles 16.78, 16.78, 16.78 degrees
Sites, in units of the cell vectors:
1 Ca 0.086 0.086 0.086
2 Ca 0.914 0.914 0.914
3 Y 0.500 0.500 0.500
4 Bi 0.000 0.000 0.000

CaY2Bi | PBE-GGA | optimized geometry

Crystal system: trigonal
Space group: No. 160

Cell lengths 10.209, 10.209, 10.209 Å; angles 23.44, 23.44, 23.44 degrees
Sites, in units of the cell vectors:
1 Ca 0.000 0.000 0.000
2 Y 0.233 0.233 0.233
3 Y 0.436 0.436 0.436
4 Bi 0.834 0.834 0.834

CaYBi2 | PBE-GGA | optimized geometry

Crystal system: cubic
Space group: No. 225

Cell lengths 5.573, 5.573, 5.573 Å; angles 60.00, 60.00, 60.00 degrees
Sites, in units of the cell vectors:
1 Ca 0.000 0.000 0.000
2 Y 0.500 0.500 0.500
3 Bi 0.250 0.250 0.250
4 Bi 0.750 0.750 0.750

Ca3YBi | PBE-GGA | optimized geometry

Crystal system: cubic
Space group: No. 221

Cell lengths 6.010, 6.010, 6.010 Å; angles 90.00, 90.00, 90.00 degrees
Sites, in units of the cell vectors:
1 Ca 0.000 0.000 0.500
2 Ca 0.000 0.500 0.000
3 Ca 0.500 0.000 0.000
4 Y 0.500 0.500 0.500
5 Bi 0.000 0.000 0.000

CaY2Bi | PBE-GGA | optimized geometry

Crystal system: tetragonal
Space group: No. 122

Cell lengths 7.302, 7.302, 7.302 Å; angles 102.24, 102.24, 125.16 degrees
Sites, in units of the cell vectors:
1 Ca 0.000 0.000 0.000
2 Ca 0.750 0.250 0.500
3 Y 0.168 0.625 0.043
4 Y 0.375 0.418 0.543
5 Y 0.582 0.125 0.957
6 Y 0.875 0.832 0.457
7 Bi 0.250 0.750 0.500
8 Bi 0.500 0.500 0.000

Ca2YBi2 | PBE-GGA | optimized geometry

Crystal system: tetragonal
Space group: No. 127

Cell lengths 8.525, 8.525, 4.477 Å; angles 90.00, 90.00, 90.00 degrees
Sites, in units of the cell vectors:
1 Ca 0.147 0.353 0.000
2 Ca 0.353 0.853 0.000
3 Ca 0.647 0.147 0.000
4 Ca 0.853 0.647 0.000
5 Y 0.000 0.000 0.500
6 Y 0.500 0.500 0.500
7 Bi 0.160 0.660 0.500
8 Bi 0.340 0.160 0.500
9 Bi 0.660 0.840 0.500
10 Bi 0.840 0.340 0.500

CaYBi2 | PBE-GGA | optimized geometry

Crystal system: tetragonal
Space group: No. 122

Cell lengths 7.028, 7.028, 7.028 Å; angles 106.03, 106.03, 116.61 degrees
Sites, in units of the cell vectors:
1 Ca 0.000 0.000 0.000
2 Ca 0.750 0.250 0.500
3 Y 0.250 0.750 0.500
4 Y 0.500 0.500 0.000
5 Bi 0.129 0.625 0.004
6 Bi 0.375 0.379 0.504
7 Bi 0.621 0.125 0.996
8 Bi 0.875 0.871 0.496

CaYBi2 | PBE-GGA | optimized geometry

Crystal system: tetragonal
Space group: No. 123

Cell lengths 5.425, 5.425, 4.143 Å; angles 90.00, 90.00, 90.00 degrees
Sites, in units of the cell vectors:
1 Ca 0.000 0.000 0.000
2 Y 0.500 0.500 0.000
3 Bi 0.000 0.500 0.500
4 Bi 0.500 0.000 0.500

Ca2YBi2 | PBE-GGA | optimized geometry

Crystal system: tetragonal
Space group: No. 127

Cell lengths 9.095, 9.095, 3.818 Å; angles 90.00, 90.00, 90.00 degrees
Sites, in units of the cell vectors:
1 Ca 0.126 0.374 0.000
2 Ca 0.374 0.874 0.000
3 Ca 0.626 0.126 0.000
4 Ca 0.874 0.626 0.000
5 Y 0.000 0.000 0.000
6 Y 0.500 0.500 0.000
7 Bi 0.175 0.675 0.500
8 Bi 0.325 0.175 0.500
9 Bi 0.675 0.825 0.500
10 Bi 0.825 0.325 0.500

Ca5YBi5 | PBE-GGA | optimized geometry

Crystal system: monoclinic
Space group: No. 12

Cell lengths 8.189, 8.189, 8.991 Å; angles 106.41, 106.41, 45.97 degrees
Sites, in units of the cell vectors:
1 Ca 0.000 0.000 0.000
2 Ca 0.317 0.317 0.178
3 Ca 0.321 0.321 0.644
4 Ca 0.679 0.679 0.356
5 Ca 0.683 0.683 0.822
6 Y 0.000 0.000 0.500
7 Bi 0.152 0.152 0.326
8 Bi 0.162 0.162 0.831
9 Bi 0.500 0.500 0.500
10 Bi 0.838 0.838 0.169
11 Bi 0.848 0.848 0.674

CaYBi2 | PBE-GGA | optimized geometry

Crystal system: monoclinic
Space group: No. 12

Cell lengths 4.416, 4.416, 8.278 Å; angles 105.49, 105.49, 60.06 degrees
Sites, in units of the cell vectors:
1 Ca 0.000 0.000 0.000
2 Y 0.500 0.500 0.500
3 Bi 0.247 0.247 0.740
4 Bi 0.753 0.753 0.260

Ca2YBi | PBE-GGA | optimized geometry

Crystal system: tetragonal
Space group: No. 122

Cell lengths 7.500, 7.500, 7.500 Å; angles 101.06, 101.06, 128.04 degrees
Sites, in units of the cell vectors:
1 Ca 0.073 0.125 0.448
2 Ca 0.375 0.927 0.052
3 Ca 0.677 0.625 0.552
4 Ca 0.875 0.323 0.948
5 Y 0.250 0.750 0.500
6 Y 0.500 0.500 0.000
7 Bi 0.000 0.000 0.000
8 Bi 0.750 0.250 0.500

CaY5Bi6 | PBE-GGA | optimized geometry

Crystal system: monoclinic
Space group: No. 12

Cell lengths 7.803, 7.803, 7.807 Å; angles 99.59, 99.59, 120.04 degrees
Sites, in units of the cell vectors:
1 Ca 0.000 0.000 0.000
2 Y 0.165 0.835 0.500
3 Y 0.332 0.668 0.000
4 Y 0.500 0.500 0.500
5 Y 0.668 0.332 0.000
6 Y 0.835 0.165 0.500
7 Bi 0.085 0.422 0.253
8 Bi 0.254 0.254 0.749
9 Bi 0.422 0.085 0.253
10 Bi 0.578 0.915 0.747
11 Bi 0.746 0.746 0.251
12 Bi 0.915 0.578 0.747

Ca3YBi | PBE-GGA | optimized geometry

Crystal system: cubic
Space group: No. 221

Cell lengths 5.998, 5.998, 5.998 Å; angles 90.00, 90.00, 90.00 degrees
Sites, in units of the cell vectors:
1 Ca 0.000 0.000 0.500
2 Ca 0.000 0.500 0.000
3 Ca 0.500 0.000 0.000
4 Y 0.000 0.000 0.000
5 Bi 0.500 0.500 0.500

CaY3Bi | PBE-GGA | optimized geometry

Crystal system: cubic
Space group: No. 221

Cell lengths 5.583, 5.583, 5.583 Å; angles 90.00, 90.00, 90.00 degrees
Sites, in units of the cell vectors:
1 Ca 0.000 0.000 0.000
2 Y 0.000 0.000 0.500
3 Y 0.000 0.500 0.000
4 Y 0.500 0.000 0.000
5 Bi 0.500 0.500 0.500

CaYBi2 | PBE-GGA | optimized geometry

Crystal system: trigonal
Space group: No. 160

Cell lengths 7.670, 7.670, 7.670 Å; angles 35.72, 35.72, 35.72 degrees
Sites, in units of the cell vectors:
1 Ca 0.000 0.000 0.000
2 Y 0.826 0.826 0.826
3 Bi 0.417 0.417 0.417
4 Bi 0.578 0.578 0.578

no.,energy relative to the elements (meV/atom),spin magnetization (μB/f.u.)
1,1559.2,0.00
2,119.2,1.52
3,-847.9,0.00
4,-673.1,0.00
5,14.9,0.00
6,-210.6,0.85
7,-644.9,0.00
8,49.3,0.00
9,-78.7,0.31
10,-721.3,1.00
11,-592.2,0.00
12,-650.2,0.00
13,-440.9,0.88
14,-675.3,0.00
15,-753.1,0.00
16,-118.6,0.00
17,-861.7,0.00
18,749.8,3.68
19,788.7,0.00
20,-678.1,0.00